Record 1
Density functional theory data (PBE-GGA) for crystalline Pr6Y2ErSc at its relaxed geometry.

The structure in POSCAR format:
```
Pr6Y2ErSc
1.0
5.1959 -3.7831 0.0000
5.1959 3.7831 0.0000
-2.0366 0.0000 8.7771
Pr Y Er Sc
6 2 1 1
direct
0.0840 0.6466 0.7159 Pr
0.3430 0.3430 0.0585 Pr
0.3534 0.9160 0.2841 Pr
0.6466 0.0840 0.7159 Pr
0.6570 0.6570 0.9415 Pr
0.9160 0.3534 0.2841 Pr
0.1282 0.1282 0.6436 Y
0.8718 0.8718 0.3564 Y
0.5000 0.5000 0.5000 Er
0.0000 0.0000 0.0000 Sc
```

- Symmetry: C2/m
- Formation energy: 219 meV per atom
- Final energy: -50.31 eV for the cell shown
- DOS at the Fermi energy: 14.31 states/eV per cell

Record 2
Density functional theory data (PBE-GGA) for crystalline DyNiHg at its relaxed geometry.

The structure in POSCAR format:
```
DyNiHg
1.0
3.7293 0.0000 0.0000
0.0000 16.8090 0.0000
0.0000 0.0000 3.9435
Dy Ni Hg
4 4 4
direct
0.0000 0.0952 0.2500 Dy
0.0000 0.9048 0.7500 Dy
0.5000 0.4048 0.7500 Dy
0.5000 0.5952 0.2500 Dy
0.0000 0.4589 0.2500 Ni
0.0000 0.5411 0.7500 Ni
0.5000 0.0411 0.7500 Ni
0.5000 0.9589 0.2500 Ni
0.0000 0.2973 0.2500 Hg
0.0000 0.7027 0.7500 Hg
0.5000 0.2027 0.7500 Hg
0.5000 0.7973 0.2500 Hg
```

- Symmetry: Cmcm
- Formation energy: -474 meV per atom
- Final energy: -48.43 eV for the cell shown
- DOS at the Fermi energy: 8.04 states/eV per cell

Record 3
Density functional theory data (PBE-GGA) for crystalline SrSn3Te4 at its relaxed geometry.

The structure in POSCAR format:
```
SrSn3Te4
1.0
9.2149 0.0000 0.0000
0.0000 13.0110 0.0000
0.0000 0.0000 4.5893
Sr Sn Te
2 6 8
direct
0.0000 0.0000 0.0000 Sr
0.5000 0.5000 0.0000 Sr
0.0000 0.5000 0.0000 Sn
0.2500 0.2500 0.5000 Sn
0.2500 0.7500 0.5000 Sn
0.5000 0.0000 0.0000 Sn
0.7500 0.2500 0.5000 Sn
0.7500 0.7500 0.5000 Sn
0.0000 0.2540 0.0000 Te
0.0000 0.7460 0.0000 Te
0.2423 0.5000 0.5000 Te
0.2577 0.0000 0.5000 Te
0.5000 0.2460 0.0000 Te
0.5000 0.7540 0.0000 Te
0.7423 0.0000 0.5000 Te
0.7577 0.5000 0.5000 Te
```

- Symmetry: Cmmm
- Final energy: -62.44 eV for the cell shown
- DOS at the Fermi energy: 0.04 states/eV per cell
- Formation energy from raw total energies: -0.62 eV/atom

Record 4
Density functional theory data (PBE-GGA) for crystalline RbNb3Pd at its relaxed geometry.

The structure in POSCAR format:
```
RbNb3Pd
1.0
4.7626 0.0000 0.0000
0.0000 4.7626 0.0000
0.0000 0.0000 4.7626
Rb Nb Pd
1 3 1
direct
0.0000 0.0000 0.0000 Rb
0.0000 0.0000 0.5000 Nb
0.0000 0.5000 0.0000 Nb
0.5000 0.0000 0.0000 Nb
0.5000 0.5000 0.5000 Pd
```

- Symmetry: Pm-3m
- Formation energy: 2723 meV per atom
- Final energy: -22.76 eV for the cell shown
- DOS at the Fermi energy: 11.70 states/eV per cell
- Polymorph energy (0 for the lowest one): 1.152 eV per atom

Record 5
Density functional theory data (PBE-GGA) for crystalline Pr3Cd at its relaxed geometry.

The structure in POSCAR format:
```
Pr3Cd
1.0
5.0271 0.0000 0.0000
0.0000 5.0271 0.0000
0.0000 0.0000 5.0271
Pr Cd
3 1
direct
0.0000 0.0000 0.5000 Pr
0.0000 0.5000 0.0000 Pr
0.5000 0.0000 0.0000 Pr
0.5000 0.5000 0.5000 Cd
```

- Symmetry: Pm-3m
- Formation energy: -113 meV per atom
- Final energy: -15.70 eV for the cell shown
- DOS at the Fermi energy: 6.88 states/eV per cell
- Polymorph energy (0 for the lowest one): 0.022 eV per atom

Record 6
Density functional theory data (PBE-GGA) for crystalline Zn2CuSe at its relaxed geometry.

The structure in POSCAR format:
```
Zn2CuSe
1.0
2.8157 0.0000 0.0000
0.0000 2.8157 0.0000
0.0000 0.0000 8.4255
Zn Cu Se
2 1 1
direct
0.0000 0.0000 0.0000 Zn
0.5000 0.5000 0.2262 Zn
0.0000 0.0000 0.4268 Cu
0.5000 0.5000 0.6676 Se
```

- Symmetry: P4mm
- Final energy: -9.47 eV for the cell shown
- DOS at the Fermi energy: 1.48 states/eV per cell
- Formation energy from raw total energies: 0.16 eV/atom